Record 1
## TaCd3Fe (GGA-PBE)

Data for crystalline TaCd3Fe at its relaxed geometry.

The energy relative to the lowest polymorph listed for this composition is 433.6 meV per atom. For the total DFT energy (no corrections), the calculation gives -14.67 eV/cell. The formation energy comes out at 1.6780 eV/atom.

Cell and atoms, written as CIF:
```
data_TaCd3Fe
_chemical_formula_sum 'Ta1 Cd3 Fe1'
_space_group_name_H-M_alt 'P m -3 m'
_space_group_IT_number 221
_space_group_name_Hall '-P 4 2 3'
_cell_length_a 5.3578
_cell_length_b 5.3578
_cell_length_c 5.3578
_cell_angle_alpha 90.00
_cell_angle_beta 90.00
_cell_angle_gamma 90.00
loop_
_atom_site_label
_atom_site_fract_x
_atom_site_fract_y
_atom_site_fract_z
_atom_site_occupancy
Ta1 0.0000 0.0000 0.0000 1
Cd1 0.0000 0.0000 0.5000 1
Fe1 0.5000 0.5000 0.5000 1
```

=====

Record 2
## Ce4GaSi3 (GGA-PBE)

Data for crystalline Ce4GaSi3 at its relaxed geometry.

For the total DFT energy (no corrections), the calculation gives -47.87 eV/cell. The formation energy from raw total energies is -0.605 eV per atom.

Cell and atoms, written as CIF:
```
data_Ce4GaSi3
_chemical_formula_sum 'Ce4 Ga1 Si3'
_space_group_name_H-M_alt 'P m m 2'
_space_group_IT_number 25
_cell_length_a 3.9406
_cell_length_b 4.3790
_cell_length_c 11.0202
_cell_angle_alpha 90.00
_cell_angle_beta 90.00
_cell_angle_gamma 90.00
loop_
_space_group_symop_operation_xyz
'x,y,z'
'-x,-y,z'
'-x,y,z'
'x,-y,z'
loop_
_atom_site_label
_atom_site_fract_x
_atom_site_fract_y
_atom_site_fract_z
_atom_site_occupancy
Ce1 0.0000 0.0000 0.0000 1
Ce2 0.0000 0.5000 0.4932 1
Ce3 0.5000 0.0000 0.7072 1
Ce4 0.5000 0.5000 0.2118 1
Ga1 0.0000 0.5000 0.7838 1
Si1 0.0000 0.0000 0.2838 1
Si2 0.5000 0.0000 0.4222 1
Si3 0.5000 0.5000 0.9270 1
```

=====

Record 3
## Cs2LiVCl6 (GGA-PBE)

Data for crystalline Cs2LiVCl6 at its relaxed geometry.

The energy relative to the lowest polymorph listed for this composition is 0.0 meV per atom. For the total DFT energy (no corrections), the calculation gives -244.38 eV/cell. The formation energy from raw total energies is -1.691 eV per atom.

Cell and atoms, written as CIF:
```
data_Cs2LiVCl6
_chemical_formula_sum 'Cs12 Li6 V6 Cl36'
_space_group_name_H-M_alt 'R -3 m'
_space_group_IT_number 166
_space_group_name_Hall '-R 3 2"'
_cell_length_a 7.3113
_cell_length_b 7.3113
_cell_length_c 36.0337
_cell_angle_alpha 90.00
_cell_angle_beta 90.00
_cell_angle_gamma 120.00
loop_
_atom_site_label
_atom_site_fract_x
_atom_site_fract_y
_atom_site_fract_z
_atom_site_occupancy
Cs1 0.0000 0.0000 0.1251 1
Cs2 0.0000 0.0000 0.2911 1
Li1 0.0000 0.0000 0.0000 1
Li2 0.0000 0.0000 0.5000 1
V1 0.0000 0.0000 0.4136 1
Cl1 0.0179 0.5090 0.2907 1
Cl2 0.0298 0.5149 0.1205 1
```

=====

Record 4
## CdCo2Br (GGA-PBE)

Data for crystalline CdCo2Br at its relaxed geometry.

The energy relative to the lowest polymorph listed for this composition is 36.4 meV per atom. For the total DFT energy (no corrections), the calculation gives -15.35 eV/cell. The formation energy from raw total energies is 0.363 eV per atom.

Cell and atoms, written as CIF:
```
data_CdCo2Br
_chemical_formula_sum 'Cd1 Co2 Br1'
_space_group_name_H-M_alt 'P 1 m 1'
_space_group_IT_number 6
_cell_length_a 3.4304
_cell_length_b 3.4621
_cell_length_c 6.7485
_cell_angle_alpha 90.00
_cell_angle_beta 103.63
_cell_angle_gamma 90.00
loop_
_space_group_symop_operation_xyz
'x,y,z'
'x,-y,z'
loop_
_atom_site_label
_atom_site_fract_x
_atom_site_fract_y
_atom_site_fract_z
_atom_site_occupancy
Cd1 0.0000 0.0000 0.0000 1
Co1 0.3537 0.0000 0.6858 1
Co2 0.8469 0.5000 0.6796 1
Br1 0.2049 0.5000 0.3827 1
```

=====

Record 5
## RbYC2 (GGA-PBE)

Data for crystalline RbYC2 at its relaxed geometry.

The energy relative to the lowest polymorph listed for this composition is 0.0 meV per atom. For the total DFT energy (no corrections), the calculation gives -78.16 eV/cell. The formation energy comes out at 1.5847 eV/atom.

Cell and atoms, written as CIF:
```
data_RbYC2
_chemical_formula_sum 'Rb4 Y4 C8'
_space_group_name_H-M_alt 'I -4 2 d'
_space_group_IT_number 122
_space_group_name_Hall 'I -4 2bw'
_cell_length_a 5.3824
_cell_length_b 5.3824
_cell_length_c 14.9684
_cell_angle_alpha 90.00
_cell_angle_beta 90.00
_cell_angle_gamma 90.00
loop_
_atom_site_label
_atom_site_fract_x
_atom_site_fract_y
_atom_site_fract_z
_atom_site_occupancy
Rb1 0.0000 0.0000 0.0000 1
Y1 0.0000 0.0000 0.5000 1
C1 0.0684 0.2500 0.6250 1
```

=====

Record 6
## Ti6Ga2Rh (GGA-PBE)

Data for crystalline Ti6Ga2Rh at its relaxed geometry.

For the total DFT energy (no corrections), the calculation gives -122.63 eV/cell. The formation energy comes out at -0.0598 eV/atom.

Cell and atoms, written as CIF:
```
data_Ti6Ga2Rh
_chemical_formula_sum 'Ti12 Ga4 Rh2'
_space_group_name_H-M_alt 'I m m m'
_space_group_IT_number 71
_space_group_name_Hall '-I 2 2'
_cell_length_a 4.2621
_cell_length_b 6.1287
_cell_length_c 12.8199
_cell_angle_alpha 90.00
_cell_angle_beta 90.00
_cell_angle_gamma 90.00
loop_
_atom_site_label
_atom_site_fract_x
_atom_site_fract_y
_atom_site_fract_z
_atom_site_occupancy
Ti1 0.0000 0.2446 0.0000 1
Ti2 0.0000 0.2548 0.3372 1
Ga1 0.0000 0.5000 0.1676 1
Rh1 0.0000 0.5000 0.5000 1
```